# La2YFePb

A relaxed structure of La2YFePb (GGA-PBE, the Alexandria database).

Energy of formation from the pure elements = -266 meV per atom

Cell and atoms, written as POSCAR:
```
La2YFePb
1.0
5.091 0.000 0.000
0.000 5.091 0.000
0.000 0.000 5.481
La Y Fe Pb
2 1 1 1
direct
0.000 0.500 0.000
0.500 0.000 0.000
0.000 0.000 0.500
0.000 0.000 0.000
0.500 0.500 0.500
```



# K3AcSc2Te6

A relaxed structure of K3AcSc2Te6 (GGA-PBE, the Alexandria database).

Raw formation energy = -1.3111 eV per atom

Cell and atoms, written as POSCAR:
```
K3AcSc2Te6
1.0
3.893 -6.752 0.000
3.893 6.752 0.000
-2.634 0.000 8.234
K Ac Sc Te
3 1 2 6
direct
0.000 0.000 0.000
0.341 0.659 0.000
0.659 0.341 0.000
0.500 0.500 0.500
0.168 0.832 0.500
0.832 0.168 0.500
0.068 0.431 0.295
0.205 0.205 0.703
0.431 0.068 0.295
0.569 0.932 0.705
0.795 0.795 0.297
0.932 0.569 0.705
```



# ZnCr

A relaxed structure of ZnCr (GGA-PBE, the Alexandria database).

Energy of formation from the pure elements = 240 meV per atom

Cell and atoms, written as POSCAR:
```
ZnCr
1.0
2.479 0.000 0.000
0.000 2.479 0.000
0.000 0.000 8.368
Zn Cr
2 2
direct
0.250 0.250 0.132
0.750 0.750 0.868
0.250 0.250 0.624
0.750 0.750 0.376
```



# Ac7Pr2Nd2

A relaxed structure of Ac7Pr2Nd2 (GGA-PBE, the Alexandria database).

Offset from the most stable computed form = 0.000 eV per formula unit
Energy of formation from the pure elements = 88 meV per atom

Cell and atoms, written as POSCAR:
```
Ac7Pr2Nd2
1.0
4.858 -5.208 0.000
4.858 5.208 0.000
-2.036 0.000 9.185
Ac Pr Nd
7 2 2
direct
0.000 0.000 0.000
0.087 0.461 0.801
0.157 0.157 0.417
0.461 0.087 0.801
0.539 0.913 0.199
0.843 0.843 0.583
0.913 0.539 0.199
0.388 0.388 0.154
0.612 0.612 0.846
0.325 0.675 0.500
0.675 0.325 0.500
```



# SrTiH2F

A relaxed structure of SrTiH2F (GGA-PBE, the Alexandria database).

Raw total energy = -4.675 eV/atom

Cell and atoms, written as POSCAR:
```
SrTiH2F
1.0
3.903 0.000 0.000
0.000 3.903 0.000
0.000 0.000 4.371
Sr Ti H F
1 1 2 1
direct
0.000 0.000 0.000
0.500 0.500 0.500
0.000 0.500 0.500
0.500 0.000 0.500
0.500 0.500 0.000
```



# SrZn4Ni2

A relaxed structure of SrZn4Ni2 (GGA-PBE, the Alexandria database).

Energy of formation from the pure elements = -121 meV per atom

Cell and atoms, written as POSCAR:
```
SrZn4Ni2
1.0
-2.567 3.292 3.319
2.567 -3.292 3.319
2.567 3.292 -3.319
Sr Zn Ni
1 4 2
direct
0.000 0.000 0.000
0.001 0.308 0.694
0.386 0.692 0.694
0.614 0.308 0.306
0.999 0.692 0.306
0.500 0.249 0.749
0.500 0.751 0.251
```



Number 1: spin magnetization 0.0 Bohr magnetons per cell. Number 2: spin magnetization 0.0 Bohr magnetons per cell. Number 3: spin magnetization 0.0 Bohr magnetons per cell. Number 4: spin magnetization 0.0 Bohr magnetons per cell. Number 5: spin magnetization 2.5 Bohr magnetons per cell. Number 6: spin magnetization 0.0 Bohr magnetons per cell.